{"formula": "Ca2VF6", "functional": "PBE+U", "state": "relaxed", "cell": [[5.131, 0.000, 0.000], [0.000, 5.131, 0.000], [0.000, 0.000, 10.456]], "species": ["Ca", "Ca", "Ca", "Ca", "V", "V", "F", "F", "F", "F", "F", "F", "F", "F", "F", "F", "F", "F"], "frac_coords": [[0.000, 0.000, 0.166], [0.000, 0.000, 0.834], [0.500, 0.500, 0.334], [0.500, 0.500, 0.666], [0.000, 0.000, 0.500], [0.500, 0.500, 0.000], [0.188, 0.188, 0.342], [0.188, 0.188, 0.658], [0.205, 0.205, 0.000], [0.295, 0.705, 0.500], [0.312, 0.688, 0.158], [0.312, 0.688, 0.842], [0.688, 0.312, 0.158], [0.688, 0.312, 0.842], [0.705, 0.295, 0.500], [0.795, 0.795, 0.000], [0.812, 0.812, 0.342], [0.812, 0.812, 0.658]], "final_energy_ev_per_cell": -108.20, "n_ef_per_ev_fu": 0.00}